No. 1
# AcAlInAu (PBE, optimized geometry)
# Energy of formation from the pure elements   -0.375 eV per atom
# Crystal system   cubic
# Uncorrected energy   -0.282 Ry/atom
data_AcAlInAu
_symmetry_space_group_name_H-M 'P 1'
_symmetry_Int_Tables_number 1
_cell_length_a 5.245
_cell_length_b 5.245
_cell_length_c 5.245
_cell_angle_alpha 60.00
_cell_angle_beta 60.00
_cell_angle_gamma 60.00
loop_
_symmetry_equiv_pos_as_xyz
'x,y,z'
loop_
_atom_site_label
_atom_site_type_symbol
_atom_site_fract_x
_atom_site_fract_y
_atom_site_fract_z
Ac1 Ac 0.500 0.500 0.500
Au1 Au 0.750 0.750 0.750
Al1 Al 0.250 0.250 0.250
In1 In 0.000 0.000 0.000

No. 2
# Ac2AlIn4Au3 (PBE, optimized geometry)
# Energy of formation from the pure elements   -0.534 eV per atom
# Crystal system   tetragonal
# Uncorrected energy   -0.280 Ry/atom
data_Ac2AlIn4Au3
_symmetry_space_group_name_H-M 'P 1'
_symmetry_Int_Tables_number 1
_cell_length_a 4.632
_cell_length_b 4.632
_cell_length_c 11.865
_cell_angle_alpha 90.00
_cell_angle_beta 90.00
_cell_angle_gamma 90.00
loop_
_symmetry_equiv_pos_as_xyz
'x,y,z'
loop_
_atom_site_label
_atom_site_type_symbol
_atom_site_fract_x
_atom_site_fract_y
_atom_site_fract_z
Ac1 Ac 0.500 0.000 0.252
Ac2 Ac 0.000 0.500 0.748
Al1 Al 0.500 0.500 0.500
In1 In 0.500 0.500 0.000
In2 In 0.000 0.000 0.000
In3 In 0.500 0.000 0.632
In4 In 0.000 0.500 0.368
Au1 Au 0.000 0.000 0.500
Au2 Au 0.500 0.000 0.861
Au3 Au 0.000 0.500 0.139

No. 3
# AcAlIn2Au5 (PBE, optimized geometry)
# Energy of formation from the pure elements   -0.362 eV per atom
# Crystal system   orthorhombic
# Uncorrected energy   -0.269 Ry/atom
data_AcAlIn2Au5
_symmetry_space_group_name_H-M 'P 1'
_symmetry_Int_Tables_number 1
_cell_length_a 4.904
_cell_length_b 6.288
_cell_length_c 8.197
_cell_angle_alpha 112.55
_cell_angle_beta 107.41
_cell_angle_gamma 90.00
loop_
_symmetry_equiv_pos_as_xyz
'x,y,z'
loop_
_atom_site_label
_atom_site_type_symbol
_atom_site_fract_x
_atom_site_fract_y
_atom_site_fract_z
Ac1 Ac 0.000 0.500 0.000
Al1 Al 0.500 0.000 0.000
In1 In 0.195 0.195 0.390
In2 In 0.805 0.805 0.610
Au1 Au 0.637 0.868 0.275
Au2 Au 0.363 0.132 0.725
Au3 Au 0.363 0.593 0.725
Au4 Au 0.637 0.407 0.275
Au5 Au 0.000 0.000 0.000

No. 4
# Ac2AlInAu6 (PBE, optimized geometry)
# Energy of formation from the pure elements   -0.559 eV per atom
# Crystal system   triclinic
# Uncorrected energy   -0.294 Ry/atom
data_Ac2AlInAu6
_symmetry_space_group_name_H-M 'P 1'
_symmetry_Int_Tables_number 1
_cell_length_a 5.848
_cell_length_b 8.988
_cell_length_c 7.048
_cell_angle_alpha 52.39
_cell_angle_beta 65.47
_cell_angle_gamma 90.27
loop_
_symmetry_equiv_pos_as_xyz
'x,y,z'
loop_
_atom_site_label
_atom_site_type_symbol
_atom_site_fract_x
_atom_site_fract_y
_atom_site_fract_z
Ac1 Ac 0.248 0.788 0.493
Ac2 Ac 0.752 0.212 0.507
Al1 Al 0.500 0.500 0.000
In1 In 0.000 0.000 0.000
Au1 Au 0.248 0.736 0.992
Au2 Au 0.755 0.755 0.971
Au3 Au 0.266 0.401 0.491
Au4 Au 0.752 0.264 0.008
Au5 Au 0.245 0.245 0.029
Au6 Au 0.734 0.599 0.509

No. 5
# Ac2Al3InAu4 (PBE, optimized geometry)
# Energy of formation from the pure elements   -0.693 eV per atom
# Crystal system   tetragonal
# Uncorrected energy   -0.310 Ry/atom
data_Ac2Al3InAu4
_symmetry_space_group_name_H-M 'P 1'
_symmetry_Int_Tables_number 1
_cell_length_a 4.611
_cell_length_b 4.611
_cell_length_c 10.806
_cell_angle_alpha 90.00
_cell_angle_beta 90.00
_cell_angle_gamma 90.00
loop_
_symmetry_equiv_pos_as_xyz
'x,y,z'
loop_
_atom_site_label
_atom_site_type_symbol
_atom_site_fract_x
_atom_site_fract_y
_atom_site_fract_z
Ac1 Ac 0.500 0.000 0.242
Ac2 Ac 0.000 0.500 0.758
Al1 Al 0.000 0.000 0.500
Al2 Al 0.500 0.000 0.879
Al3 Al 0.000 0.500 0.121
In1 In 0.500 0.500 0.500
Au1 Au 0.500 0.500 0.000
Au2 Au 0.000 0.000 0.000
Au3 Au 0.500 0.000 0.643
Au4 Au 0.000 0.500 0.357

No. 6
# AcAlInAu2 (PBE, optimized geometry)
# Energy of formation from the pure elements   -0.635 eV per atom
# Crystal system   tetragonal
# Uncorrected energy   -0.299 Ry/atom
data_AcAlInAu2
_symmetry_space_group_name_H-M 'P 1'
_symmetry_Int_Tables_number 1
_cell_length_a 4.455
_cell_length_b 4.455
_cell_length_c 6.821
_cell_angle_alpha 109.06
_cell_angle_beta 109.06
_cell_angle_gamma 90.00
loop_
_symmetry_equiv_pos_as_xyz
'x,y,z'
loop_
_atom_site_label
_atom_site_type_symbol
_atom_site_fract_x
_atom_site_fract_y
_atom_site_fract_z
Ac1 Ac 0.000 0.000 0.000
Al1 Al 0.750 0.250 0.500
In1 In 0.250 0.750 0.500
Au1 Au 0.616 0.616 0.233
Au2 Au 0.384 0.384 0.767